Material: TlInPt2
Method: DFT, GGA-PBE
State: optimized geometry

The calculation puts the total moment at 0.00 μB per formula unit. The value obtained for the energy of formation from the pure elements is -67.5 kJ/mol of formula units. For the uncorrected energy, the calculation gives -4.471 eV/atom.

Cell lengths 3.641, 3.073, 7.289 Å; angles 94.71, 90.00, 90.00 degrees
Fractional coordinates of all 4 atoms:
In1 0.500 0.750 0.750
Pt1 0.000 0.290 0.955
Pt2 0.000 0.210 0.545
Tl1 0.500 0.250 0.250

***

Material: Ti2AsPd2
Method: DFT, GGA-PBE
State: optimized geometry

The calculation puts the total moment at 0.00 μB per formula unit. The value obtained for the energy of formation from the pure elements is -197.2 kJ/mol of formula units. The calculation puts the distance to the lowest polymorph of the same formula at 0 meV per atom. For the uncorrected energy, the calculation gives -6.574 eV/atom.

Cell lengths 7.427, 7.427, 3.020 Å; angles 90.00, 90.00, 90.00 degrees
Fractional coordinates of all 10 atoms:
As1 0.000 0.000 0.000
As2 0.500 0.500 0.000
Pd1 0.370 0.870 0.000
Pd2 0.870 0.630 0.000
Pd3 0.630 0.130 0.000
Pd4 0.130 0.370 0.000
Ti1 0.167 0.667 0.500
Ti2 0.667 0.833 0.500
Ti3 0.833 0.333 0.500
Ti4 0.333 0.167 0.500

***

Material: PmTm2Ge2Pt7
Method: DFT, GGA-PBE
State: optimized geometry

The calculation puts the total moment at 0.00 μB per formula unit. The value obtained for the energy of formation from the pure elements is -1072.9 kJ/mol of formula units. For the uncorrected energy, the calculation gives -6.361 eV/atom.

Cell lengths 4.066, 4.066, 14.101 Å; angles 82.92, 82.92, 89.28 degrees
Fractional coordinates of all 12 atoms:
Pm1 0.000 0.000 0.000
Tm1 0.865 0.865 0.360
Tm2 0.135 0.135 0.640
Ge1 0.612 0.612 0.737
Ge2 0.388 0.388 0.263
Pt1 0.500 0.500 0.000
Pt2 0.354 0.354 0.436
Pt3 0.646 0.646 0.564
Pt4 0.931 0.431 0.161
Pt5 0.431 0.931 0.161
Pt6 0.569 0.069 0.839
Pt7 0.069 0.569 0.839

***

Material: LiTiBr2
Method: DFT, GGA-PBE
State: optimized geometry

The calculation puts the total moment at 2.96 μB per formula unit. The calculation puts the distance to the lowest polymorph of the same formula at 198 meV per atom. As for the uncorrected formation energy: -47.1 kJ/mol of atoms. For the uncorrected energy, the calculation gives -3.777 eV/atom.

Cell lengths 4.881, 4.881, 4.881 Å; angles 60.00, 60.00, 60.00 degrees
Fractional coordinates of all 4 atoms:
Li1 0.000 0.000 0.000
Br1 0.250 0.250 0.250
Br2 0.750 0.750 0.750
Ti1 0.500 0.500 0.500